Record 1
A plane-wave DFT calculation with PBE-GGA was carried out for a relaxed structure of Tm2Al2Au.

Cell and atoms, written as POSCAR:
```
Tm2Al2Au
1.0
4.4471 0.0000 0.0000
2.2236 5.3001 -0.2466
2.2236 -0.0988 9.3495
Tm Al Au
4 4 2
direct
0.6787 0.3164 0.3262
0.9231 0.2596 0.8942
0.3213 0.6836 0.6738
0.0769 0.7404 0.1058
0.0869 0.2700 0.5562
0.6371 0.8394 0.8864
0.9131 0.7300 0.4438
0.3629 0.1606 0.1136
0.6140 0.1112 0.6608
0.3860 0.8888 0.3392
```

Values from the calculation:
- size of the total moment (μB/cell) = 0.0
- SG = C2/m (12)
- E_form (meV per atom) = -622

=====

Record 2
A plane-wave DFT calculation with PBE-GGA was carried out for a relaxed structure of Ac2CeWN5.

Cell and atoms, written as POSCAR:
```
Ac2CeWN5
1.0
3.6909 0.0000 0.0000
-1.8454 7.1623 0.0000
0.0000 0.0000 11.2177
Ac Ce W N
4 2 2 10
direct
0.8476 0.6951 0.8151
0.1042 0.2084 0.6788
0.1524 0.3049 0.3151
0.8958 0.7916 0.1788
0.7949 0.5897 0.5215
0.2051 0.4103 0.0215
0.5241 0.0482 0.9453
0.4759 0.9518 0.4453
0.3737 0.7475 0.0040
0.6655 0.3310 0.8969
0.4852 0.9705 0.7886
0.2790 0.5581 0.6617
0.9662 0.9325 0.5120
0.6263 0.2525 0.5040
0.3345 0.6690 0.3969
0.5148 0.0295 0.2886
0.7210 0.4419 0.1617
0.0338 0.0675 0.0120
```

Values from the calculation:
- size of the total moment (μB/cell) = 0.0
- SG = Cmc2_1 (36)
- formation energy without anion corrections (eV/f.u.) = -9.65

=====

Record 3
A plane-wave DFT calculation with PBE-GGA was carried out for a relaxed structure of KSc3Co.

Cell and atoms, written as POSCAR:
```
KSc3Co
1.0
-2.6061 3.8390 -0.8927
-2.9929 -1.2312 3.4428
2.5646 2.4643 3.1107
Sc K Co
3 1 1
direct
0.0000 0.5000 0.0000
0.0000 0.0000 0.5000
0.5000 0.0000 0.0000
0.0000 0.0000 0.0000
0.5000 0.5000 0.5000
```

Values from the calculation:
- size of the total moment (μB/cell) = 0.0
- energy above the most stable polymorph in this dataset (meV per atom) = 1570.5
- SG = Pm-3m (221)
- E_form (meV per atom) = 1756

=====

Record 4
A plane-wave DFT calculation with PBE-GGA was carried out for a relaxed structure of CaInSi2Au6.

Cell and atoms, written as POSCAR:
```
CaInSi2Au6
1.0
5.9251 0.0000 0.0000
2.9626 5.1313 0.0000
2.9626 1.7104 8.1634
Ca In Si Au
1 1 2 6
direct
0.0000 0.0000 0.0000
0.5000 0.5000 0.5000
0.6657 0.6657 0.0028
0.3343 0.3343 0.9972
0.0699 0.5691 0.7743
0.5867 0.0699 0.7743
0.4309 0.4133 0.2257
0.9301 0.4309 0.2257
0.4133 0.9301 0.2257
0.5691 0.5867 0.7743
```

Values from the calculation:
- size of the total moment (μB/cell) = 0.0
- SG = R-3 (148)
- formation energy without anion corrections (eV/f.u.) = -0.60

=====

Record 5
A plane-wave DFT calculation with PBE-GGA was carried out for a relaxed structure of MnFe2SbN.

Cell and atoms, written as POSCAR:
```
MnFe2SbN
1.0
-0.9388 -1.0236 3.7035
3.7550 0.5637 1.1077
-0.8146 3.7798 0.8382
Sb Mn Fe N
1 1 2 1
direct
0.5000 0.5000 0.5000
0.0000 0.0000 0.5000
0.0000 0.5000 0.0000
0.5000 0.0000 0.0000
0.0000 0.0000 0.0000
```

Values from the calculation:
- size of the total moment (μB/cell) = 6.4
- SG = P4/mmm (123)
- formation energy without anion corrections (eV/f.u.) = 0.01

=====

Record 6
A plane-wave DFT calculation with PBE-GGA was carried out for a relaxed structure of Cs2AlTlS4.

Cell and atoms, written as POSCAR:
```
Cs2AlTlS4
1.0
6.2750 0.0000 0.0000
3.1375 7.2358 0.0000
3.1375 0.0000 12.3803
Cs Al Tl S
4 2 2 8
direct
0.1787 0.0000 0.6425
0.8213 0.0000 0.3575
0.5713 0.5000 0.8575
0.9287 0.5000 0.1425
0.2500 0.5000 0.5000
0.5000 0.0000 0.0000
0.7500 0.5000 0.5000
0.0000 0.0000 0.0000
0.3211 0.8165 0.1026
0.2402 0.1835 0.8974
0.8624 0.8165 0.8974
0.5762 0.1835 0.1026
0.4289 0.6835 0.3974
0.5098 0.3165 0.6026
0.8876 0.6835 0.6026
0.1738 0.3165 0.3974
```

Values from the calculation:
- size of the total moment (μB/cell) = 0.0
- SG = Fddd (70)
- formation energy without anion corrections (eV/f.u.) = -7.56

=====

Record 7
A plane-wave DFT calculation with PBE-GGA was carried out for a relaxed structure of PmZn2Ag4.

Cell and atoms, written as POSCAR:
```
PmZn2Ag4
1.0
-2.0566 4.1599 2.6557
-3.9847 -1.0253 3.9023
2.5171 1.6017 4.8225
Pm Zn Ag
1 2 4
direct
0.0000 0.0000 0.0000
0.7500 0.5000 0.5000
0.2500 0.5000 0.5000
0.6961 0.0000 0.6077
0.3039 0.0000 0.3923
0.3039 0.3923 0.0000
0.6961 0.6077 0.0000
```

Values from the calculation:
- size of the total moment (μB/cell) = 0.0
- energy above the most stable polymorph in this dataset (meV per atom) = 0.0
- SG = I4/mmm (139)
- E_form (meV per atom) = -187

=====

Record 8
A plane-wave DFT calculation with PBE-GGA was carried out for a relaxed structure of BeNiAs.

Cell and atoms, written as POSCAR:
```
BeNiAs
1.0
4.1322 -0.0153 -0.0123
1.6130 3.8044 0.0123
-2.8661 -1.9043 2.2878
Ni As Be
1 1 1
direct
0.6654 0.6654 0.0000
0.0039 0.0039 0.0000
0.3307 0.3307 0.0000
```

Values from the calculation:
- size of the total moment (μB/cell) = 0.0
- energy above the most stable polymorph in this dataset (meV per atom) = 183.6
- SG = I4mm (107)
- E_form (meV per atom) = -61